Hf3Mn2Ni, optimized geometry, DFT PBE; DOS at the Fermi energy = 4.80 states/eV/cell; raw total energy = -9.2672 eV per atom
1.0
3.174 0.000 0.000
0.000 3.174 0.000
0.000 0.000 9.422
Hf Mn Ni
3 2 1
Direct
0.000 0.000 0.000
0.000 0.000 0.672
0.000 0.000 0.328
0.500 0.500 0.827
0.500 0.500 0.173
0.500 0.500 0.500